# Zr2Co2F | Alexandria via LeMat-Bulk | PBE with a Hubbard U | optimized geometry
# - Crystal system: tetragonal
# - D(E_F): 8.4 states/eV per cell
# - ΔE to the lowest computed polymorph: 0.000 eV/atom
data_Zr2Co2F
_chemical_formula_sum 'Zr4 Co4 F2'
_cell_length_a 6.7961
_cell_length_b 6.7961
_cell_length_c 3.3486
_cell_angle_alpha 90.00
_cell_angle_beta 90.00
_cell_angle_gamma 90.00
_space_group_name_H-M_alt 'P 4/m b m'
_space_group_IT_number 127
_space_group_name_Hall '-P 4 2ab'
loop_
_atom_site_label
_atom_site_type_symbol
_atom_site_fract_x
_atom_site_fract_y
_atom_site_fract_z
_atom_site_occupancy
Zr1 Zr 0.1901 0.3099 0.0000 1
Co1 Co 0.1151 0.6151 0.5000 1
F1 F 0.0000 0.0000 0.0000 1